# 1
Compound: Y3Ho12Te5
Source: Alexandria via LeMat-Bulk
Functional: PBE
Structure: optimized geometry

Cell: 15.875 15.875 15.875 Å, 109.47 109.47 109.47°
Atoms (fractional coordinates):
Te 0.250 0.875 0.125
Te 0.375 0.250 0.125
Y 0.125 0.875 0.750
Te 0.750 0.625 0.375
Te 0.750 0.125 0.875
Y 0.625 0.250 0.375
Ho 0.574 0.946 0.669
Te 0.000 0.000 0.000
Ho 0.872 0.277 0.446
Ho 0.594 0.872 0.426
Te 0.000 0.000 0.500
Ho 0.426 0.054 0.331
Ho 0.906 0.831 0.777
Y 0.125 0.250 0.875
Ho 0.169 0.094 0.723
Ho 0.831 0.926 0.054
Ho 0.223 0.669 0.094
Ho 0.446 0.777 0.872
Ho 0.074 0.906 0.128
Y 0.875 0.125 0.250
Ho 0.406 0.277 0.331
Ho 0.669 0.446 0.574
Y 0.625 0.375 0.750
Ho 0.628 0.054 0.223
Y 0.250 0.125 0.375
Ho 0.906 0.074 0.628
Ho 0.372 0.426 0.094
Ho 0.331 0.554 0.426
Te 0.625 0.750 0.875
Te 0.625 0.875 0.250
Te 0.500 0.000 0.000
Y 0.375 0.625 0.250
Ho 0.169 0.074 0.946
Te 0.000 0.500 0.000
Ho 0.831 0.906 0.277
Ho 0.331 0.777 0.406
Te 0.875 0.625 0.750
Ho 0.872 0.594 0.926
Ho 0.628 0.574 0.906
Ho 0.277 0.406 0.831
Ho 0.094 0.169 0.223
Ho 0.669 0.223 0.594
Ho 0.554 0.331 0.926
Ho 0.926 0.831 0.554
Ho 0.128 0.723 0.554
Ho 0.574 0.628 0.406
Ho 0.074 0.169 0.446
Ho 0.723 0.128 0.054
Ho 0.777 0.446 0.372
Ho 0.946 0.574 0.169
Y 0.750 0.375 0.125
Ho 0.446 0.669 0.074
Ho 0.777 0.331 0.906
Y 0.375 0.750 0.625
Ho 0.128 0.406 0.074
Ho 0.723 0.594 0.169
Te 0.250 0.375 0.625
Ho 0.223 0.554 0.628
Te 0.375 0.125 0.750
Ho 0.926 0.094 0.872
Te 0.125 0.375 0.250
Y 0.750 0.875 0.625
Ho 0.372 0.946 0.777
Ho 0.554 0.223 0.128
Te 0.500 0.500 0.500
Ho 0.054 0.426 0.831
Ho 0.054 0.628 0.723
Ho 0.426 0.372 0.594
Te 0.500 0.500 0.000
Ho 0.094 0.926 0.372
Te 0.500 0.000 0.500
Ho 0.946 0.372 0.277
Te 0.000 0.500 0.500
Y 0.875 0.750 0.125
Ho 0.277 0.872 0.946
Y 0.250 0.625 0.875
Ho 0.594 0.723 0.669
Ho 0.406 0.128 0.574
Te 0.125 0.750 0.375
Te 0.875 0.250 0.625

Computed properties:
**Raw formation energy**: -53 meV per atom
**Space group**: Ia-3d, No. 230
**Magnetization**: 0.0 μB per formula unit

=====

# 2
Compound: YHoTe
Source: Alexandria via LeMat-Bulk
Functional: PBE
Structure: optimized geometry

Cell: 3.863 3.863 6.384 Å, 107.61 107.61 90.00°
Atoms (fractional coordinates):
Y 0.010 0.010 0.020
Ho 0.322 0.322 0.645
Te 0.667 0.667 0.335

Computed properties:
**Raw formation energy**: -783 meV per atom
**Space group**: I4mm, No. 107
**Magnetization**: 0.0 μB per formula unit
**Energy relative to the lowest polymorph listed for this composition**: 1.75 kcal/mol of atoms

=====

# 3
Compound: YHoTe
Source: Alexandria via LeMat-Bulk
Functional: PBE
Structure: optimized geometry

Cell: 3.986 5.142 5.142 Å, 120.00 90.00 90.00°
Atoms (fractional coordinates):
Te 0.329 0.667 0.333
Ho 0.091 0.000 0.000
Y 0.580 0.333 0.667

Computed properties:
**Raw formation energy**: -485 meV per atom
**Space group**: P3m1, No. 156
**Magnetization**: 0.0 μB per formula unit
**Energy relative to the lowest polymorph listed for this composition**: 8.62 kcal/mol of atoms

=====

# 4
Compound: Y3Ho2Te6
Source: Alexandria via LeMat-Bulk
Functional: PBE
Structure: optimized geometry

Cell: 7.511 7.481 7.488 Å, 80.31 70.42 59.87°
Atoms (fractional coordinates):
Te 0.097 0.324 0.740
Te 0.421 0.676 0.740
Te 0.258 0.000 0.257
Ho 0.836 0.328 0.500
Te 0.903 0.676 0.260
Ho 0.164 0.672 0.500
Te 0.742 0.000 0.743
Y 0.000 0.000 0.000
Te 0.579 0.324 0.260
Y 0.670 0.660 0.000
Y 0.330 0.340 0.000

Computed properties:
**Raw formation energy**: -1399 meV per atom
**Space group**: C2/m, No. 12
**Magnetization**: 0.0 μB per formula unit
**Energy relative to the lowest polymorph listed for this composition**: 0.00 kcal/mol of atoms

=====

# 5
Compound: Y2Ho2Te7
Source: Alexandria via LeMat-Bulk
Functional: PBE
Structure: optimized geometry

Cell: 4.220 9.576 9.576 Å, 61.90 77.27 77.27°
Atoms (fractional coordinates):
Te 0.176 0.721 0.926
Te 0.858 0.425 0.859
Te 0.500 0.004 0.996
Y 0.742 0.856 0.660
Te 0.142 0.141 0.575
Ho 0.500 0.324 0.676
Te 0.824 0.074 0.279
Ho 0.000 0.770 0.230
Y 0.258 0.340 0.144
Te 0.609 0.490 0.292
Te 0.391 0.708 0.510

Computed properties:
**Raw formation energy**: -1199 meV per atom
**Space group**: Imm2, No. 44
**Magnetization**: 0.0 μB per formula unit

=====

# 6
Compound: Y2HoTe4
Source: Alexandria via LeMat-Bulk
Functional: PBE
Structure: optimized geometry

Cell: 4.231 7.471 14.952 Å, 90.00 90.00 106.45°
Atoms (fractional coordinates):
Te 0.221 0.441 0.877
Te 0.029 0.058 0.250
Te 0.779 0.559 0.123
Te 0.779 0.559 0.377
Te 0.500 0.000 0.000
Y 0.869 0.738 0.930
Ho 0.372 0.743 0.250
Te 0.971 0.942 0.750
Y 0.131 0.262 0.430
Te 0.500 0.000 0.500
Y 0.869 0.738 0.570
Te 0.221 0.441 0.623
Y 0.131 0.262 0.070
Ho 0.628 0.257 0.750

Computed properties:
**Raw formation energy**: -1348 meV per atom
**Space group**: Cmcm, No. 63
**Magnetization**: 0.0 μB per formula unit
**Energy relative to the lowest polymorph listed for this composition**: 1.07 kcal/mol of atoms

=====

Question: The lowest raw formation energy belongs to which entry?
Answer: Y3Ho2Te6

=====

Question: magnetization of number 3 (YHoTe)?
Answer: 0.0 μB per formula unit

=====

Question: magnetization of number 5 (Y2Ho2Te7)?
Answer: 0.0 μB per formula unit

=====

Question: Which value of magnetization does entry 2 give?
Answer: 0.0 μB per formula unit